# NaAlO2

NaAlO2 after structural relaxation (PBE, Alexandria).

Cell lengths 5.618, 5.618, 5.618 Å; angles 29.91, 29.91, 29.91 degrees
Positions (direct):
Na (0.000, 0.000, 0.000)
O (0.230, 0.230, 0.230)
O (0.770, 0.770, 0.770)
Al (0.500, 0.500, 0.500)

## Properties
Formation energy from raw total energies ... -2.52 eV per atom
Total moment ... 0.00 μB/f.u.
Symmetry ... R-3m

***

# NaAl2O

NaAl2O after structural relaxation (PBE, Alexandria).

Cell lengths 7.114, 7.114, 5.596 Å; angles 50.53, 50.53, 90.00 degrees
Positions (direct):
O (0.250, 0.750, 0.500)
O (0.500, 0.500, 0.000)
Na (0.750, 0.250, 0.500)
Na (0.000, 0.000, 0.000)
Al (0.530, 0.125, 0.250)
Al (0.220, 0.625, 0.250)
Al (0.375, 0.470, 0.750)
Al (0.875, 0.780, 0.750)

## Properties
Formation energy from raw total energies ... -0.55 eV per atom
Total moment ... 0.00 μB/f.u.
Symmetry ... I-42d

***

# Na6AlO4

Na6AlO4 after structural relaxation (PBE, Alexandria).

Cell lengths 5.763, 7.967, 7.967 Å; angles 120.00, 90.00, 90.00 degrees
Positions (direct):
Na (0.141, 0.460, 0.540)
Na (0.141, 0.460, 0.919)
Na (0.970, 0.262, 0.131)
Na (0.141, 0.081, 0.540)
Na (0.641, 0.540, 0.081)
Na (0.470, 0.131, 0.869)
Na (0.470, 0.738, 0.869)
Na (0.641, 0.540, 0.460)
Na (0.970, 0.869, 0.131)
Na (0.470, 0.131, 0.262)
Na (0.970, 0.869, 0.738)
Na (0.641, 0.919, 0.460)
O (0.338, 0.790, 0.579)
O (0.338, 0.421, 0.210)
O (0.838, 0.210, 0.421)
O (0.417, 0.333, 0.667)
O (0.838, 0.210, 0.790)
O (0.838, 0.579, 0.790)
O (0.917, 0.667, 0.333)
O (0.338, 0.790, 0.210)
Al (0.229, 0.667, 0.333)
Al (0.729, 0.333, 0.667)

## Properties
Formation energy from raw total energies ... -1.57 eV per atom
Total moment ... 0.19 μB/f.u.
Symmetry ... P6_3mc

***

# NaAl11O17

NaAl11O17 after structural relaxation (PBE, Alexandria).

Cell lengths 11.848, 11.848, 11.848 Å; angles 27.60, 27.60, 27.60 degrees
Positions (direct):
O (0.904, 0.904, 0.904)
O (0.703, 0.703, 0.703)
O (0.811, 0.811, 0.279)
O (0.090, 0.601, 0.601)
O (0.279, 0.811, 0.811)
O (0.601, 0.601, 0.090)
O (0.191, 0.719, 0.191)
O (0.719, 0.191, 0.191)
O (0.191, 0.191, 0.719)
O (0.811, 0.279, 0.811)
O (0.297, 0.297, 0.297)
O (0.500, 0.500, 0.500)
O (0.601, 0.090, 0.601)
O (0.906, 0.403, 0.403)
O (0.094, 0.094, 0.094)
O (0.403, 0.906, 0.403)
O (0.403, 0.403, 0.906)
Al (0.904, 0.904, 0.405)
Al (0.550, 0.550, 0.550)
Al (0.097, 0.592, 0.097)
Al (0.097, 0.097, 0.592)
Al (0.649, 0.649, 0.649)
Al (0.405, 0.904, 0.904)
Al (0.904, 0.405, 0.904)
Al (0.000, 0.000, 0.000)
Al (0.350, 0.350, 0.350)
Al (0.451, 0.451, 0.451)
Al (0.592, 0.097, 0.097)
Na (0.825, 0.825, 0.825)

## Properties
Formation energy from raw total energies ... -2.95 eV per atom
Offset from the most stable computed form ... 0 meV/atom
Total moment ... 0.00 μB/f.u.
Symmetry ... R3m

***

# Na2AlOsO6

Na2AlOsO6 after structural relaxation (PBE, Alexandria).

Cell lengths 5.309, 5.322, 7.534 Å; angles 90.00, 90.02, 90.00 degrees
Each line ends with the local moment (μB).
Positions (direct):
O (0.455, 0.995, 0.750)  0.03
O (0.779, 0.779, 0.977)  0.02
O (0.779, 0.778, 0.523)  0.02
O (0.545, 0.005, 0.250)  0.03
O (0.279, 0.722, 0.023)  0.02
O (0.221, 0.221, 0.023)  0.02
O (0.721, 0.279, 0.523)  0.02
O (0.955, 0.505, 0.250)  0.03
O (0.721, 0.278, 0.977)  0.02
O (0.221, 0.222, 0.477)  0.02
O (0.045, 0.495, 0.750)  0.03
O (0.279, 0.721, 0.477)  0.02
Os (0.500, 0.000, 0.500)  0.40
Os (0.000, 0.500, 0.000)  0.40
Na (0.002, 0.986, 0.250)  0.00
Na (0.998, 0.014, 0.750)  0.00
Na (0.502, 0.514, 0.750)  0.00
Na (0.498, 0.486, 0.250)  0.00
Al (0.000, 0.500, 0.500)  0.00
Al (0.500, 0.000, 0.000)  0.00

## Properties
Formation energy from raw total energies ... -1.71 eV per atom
Total moment ... 0.61 μB/f.u.
Symmetry ... P2_1/c

***

# NaAl2OsO6

NaAl2OsO6 after structural relaxation (PBE, Alexandria).

Cell lengths 6.031, 7.045, 7.045 Å; angles 103.17, 74.76, 74.76 degrees
Each line ends with the local moment (μB).
Positions (direct):
Al (0.174, 0.440, 0.299)  0.00
Al (0.674, 0.299, 0.440)  0.00
Al (0.326, 0.701, 0.560)  0.00
Al (0.826, 0.560, 0.701)  0.00
O (0.060, 0.632, 0.171)  0.10
O (0.302, 0.219, 0.051)  0.05
O (0.540, 0.570, 0.665)  0.00
O (0.960, 0.335, 0.430)  0.00
O (0.040, 0.665, 0.570)  0.00
O (0.460, 0.430, 0.335)  0.00
O (0.940, 0.368, 0.829)  0.10
O (0.198, 0.949, 0.781)  0.05
O (0.698, 0.781, 0.949)  0.05
O (0.802, 0.051, 0.219)  0.05
O (0.440, 0.829, 0.368)  0.10
O (0.560, 0.171, 0.632)  0.10
Os (0.750, 0.795, 0.205)  0.63
Os (0.250, 0.205, 0.795)  0.63
Na (0.750, 0.096, 0.904)  0.00
Na (0.250, 0.904, 0.096)  0.00

## Properties
Formation energy from raw total energies ... -1.90 eV per atom
Total moment ... 1.03 μB/f.u.
Symmetry ... C2/c